No. 1
{"formula": "KHoS2", "functional": "PBEsol", "state": "optimized geometry", "cell": [[1.985, 1.146, 7.248], [-1.985, 1.146, 7.248], [0.000, -2.292, 7.248]], "species": ["K", "Ho", "S", "S"], "fractional_positions": [[0.000, 0.000, 0.000], [0.500, 0.500, 0.500], [0.234, 0.234, 0.234], [0.766, 0.766, 0.766]], "formation_energy_uncorrected_ev_per_atom": -1.915, "energy_ev_per_cell": -22.51}

***

No. 2
{"formula": "Y2MnSi12O28", "functional": "PBEsol", "state": "optimized geometry", "cell": [[-3.768, 7.584, 9.818], [3.768, -7.584, 9.818], [3.768, 7.584, -9.818]], "species": ["Y", "Y", "Y", "Y", "Mn", "Mn", "Si", "Si", "Si", "Si", "Si", "Si", "Si", "Si", "Si", "Si", "Si", "Si", "Si", "Si", "Si", "Si", "Si", "Si", "Si", "Si", "Si", "Si", "Si", "Si", "O", "O", "O", "O", "O", "O", "O", "O", "O", "O", "O", "O", "O", "O", "O", "O", "O", "O", "O", "O", "O", "O", "O", "O", "O", "O", "O", "O", "O", "O", "O", "O", "O", "O", "O", "O", "O", "O", "O", "O", "O", "O", "O", "O", "O", "O", "O", "O", "O", "O", "O", "O", "O", "O", "O", "O"], "fractional_positions": [[0.021, 0.250, 0.771], [0.479, 0.250, 0.229], [0.521, 0.750, 0.771], [0.979, 0.750, 0.229], [0.250, 0.250, 0.000], [0.750, 0.750, 0.000], [0.024, 0.502, 0.228], [0.073, 0.891, 0.666], [0.128, 0.178, 0.306], [0.168, 0.763, 0.931], [0.225, 0.407, 0.334], [0.226, 0.998, 0.523], [0.274, 0.797, 0.772], [0.275, 0.609, 0.182], [0.332, 0.263, 0.595], [0.372, 0.678, 0.050], [0.427, 0.093, 0.818], [0.476, 0.703, 0.477], [0.524, 0.297, 0.523], [0.573, 0.907, 0.182], [0.628, 0.322, 0.950], [0.668, 0.737, 0.405], [0.725, 0.391, 0.818], [0.726, 0.203, 0.228], [0.774, 0.002, 0.477], [0.775, 0.593, 0.666], [0.832, 0.237, 0.069], [0.872, 0.822, 0.694], [0.927, 0.109, 0.334], [0.976, 0.498, 0.772], [0.008, 0.176, 0.317], [0.011, 0.544, 0.939], [0.037, 0.736, 0.431], [0.066, 0.594, 0.793], [0.081, 0.104, 0.806], [0.105, 0.044, 0.532], [0.133, 0.965, 0.098], [0.142, 0.309, 0.317], [0.146, 0.459, 0.260], [0.196, 0.764, 0.301], [0.199, 0.728, 0.793], [0.200, 0.886, 0.740], [0.202, 0.396, 0.977], [0.225, 0.267, 0.493], [0.275, 0.767, 0.042], [0.298, 0.275, 0.194], [0.300, 0.041, 0.686], [0.301, 0.094, 0.528], [0.304, 0.605, 0.569], [0.354, 0.614, 0.314], [0.358, 0.676, 0.167], [0.367, 0.465, 0.831], [0.395, 0.928, 0.939], [0.419, 0.225, 0.023], [0.434, 0.228, 0.528], [0.463, 0.895, 0.699], [0.489, 0.428, 0.532], [0.492, 0.809, 0.167], [0.508, 0.191, 0.833], [0.511, 0.572, 0.468], [0.537, 0.105, 0.301], [0.566, 0.772, 0.472], [0.581, 0.775, 0.977], [0.605, 0.072, 0.061], [0.633, 0.535, 0.169], [0.642, 0.324, 0.833], [0.646, 0.386, 0.686], [0.696, 0.395, 0.431], [0.699, 0.906, 0.472], [0.700, 0.959, 0.314], [0.702, 0.725, 0.806], [0.725, 0.233, 0.958], [0.775, 0.733, 0.507], [0.798, 0.604, 0.023], [0.800, 0.114, 0.260], [0.801, 0.272, 0.207], [0.804, 0.236, 0.699], [0.854, 0.541, 0.740], [0.858, 0.691, 0.683], [0.867, 0.035, 0.902], [0.895, 0.956, 0.468], [0.919, 0.896, 0.194], [0.934, 0.406, 0.207], [0.963, 0.264, 0.569], [0.989, 0.456, 0.061], [0.992, 0.824, 0.683]], "formation_energy_uncorrected_ev_per_atom": -2.852, "energy_ev_per_cell": -723.93}

***

No. 3
{"formula": "KBa4Mg", "functional": "PBEsol", "state": "optimized geometry", "cell": [[0.000, 5.510, 5.510], [5.510, 0.000, 5.510], [5.510, 5.510, 0.000]], "species": ["K", "Ba", "Ba", "Ba", "Ba", "Mg"], "fractional_positions": [[0.000, 0.000, 0.000], [0.376, 0.376, 0.376], [0.376, 0.376, 0.872], [0.376, 0.872, 0.376], [0.872, 0.376, 0.376], [0.750, 0.750, 0.750]], "energy_ev_per_cell": -9.48, "delta_e_f_ev_per_atom": 0.328}

***

No. 4
{"formula": "ReNi2Se", "functional": "PBEsol", "state": "optimized geometry", "cell": [[4.482, 0.000, 0.000], [0.000, 4.482, 0.000], [0.000, 0.000, 2.623]], "species": ["Re", "Ni", "Ni", "Se"], "fractional_positions": [[0.000, 0.000, 0.000], [0.000, 0.500, 0.500], [0.500, 0.000, 0.500], [0.500, 0.500, 0.000]], "formation_energy_uncorrected_ev_per_atom": 0.436, "energy_ev_per_cell": -27.75}

***

No. 5
{"formula": "Ba3P", "functional": "PBEsol", "state": "optimized geometry", "cell": [[-2.111, 6.231, 3.780], [2.111, -6.231, 3.780], [2.111, 6.231, -3.780]], "species": ["Ba", "Ba", "Ba", "P"], "fractional_positions": [[0.000, 0.000, 0.000], [0.298, 0.460, 0.838], [0.621, 0.460, 0.162], [0.302, 0.802, 0.500]], "energy_ev_per_cell": -14.30, "delta_e_f_ev_per_atom": -0.516}

***

No. 6
{"formula": "InAg3", "functional": "PBEsol", "state": "optimized geometry", "cell": [[2.934, 0.000, 0.000], [0.000, 4.725, 0.000], [0.000, 0.000, 5.115]], "species": ["In", "Ag", "Ag", "Ag"], "fractional_positions": [[0.000, 0.000, 0.000], [0.000, 0.500, 0.669], [0.500, 0.000, 0.502], [0.500, 0.500, 0.178]], "energy_ev_per_cell": -13.06, "delta_e_f_ev_per_atom": -0.036}

***

No. 7
{"formula": "TiIrI3", "functional": "PBEsol", "state": "optimized geometry", "cell": [[5.323, 0.000, 0.000], [0.000, 5.323, 0.000], [0.000, 0.000, 5.323]], "species": ["Ti", "Ir", "I", "I", "I"], "fractional_positions": [[0.000, 0.000, 0.000], [0.500, 0.500, 0.500], [0.000, 0.000, 0.500], [0.000, 0.500, 0.000], [0.500, 0.000, 0.000]], "formation_energy_uncorrected_ev_per_atom": 0.982, "energy_ev_per_cell": -18.54}

***

No. 8
{"formula": "Li5Mg", "functional": "PBEsol", "state": "optimized geometry", "cell": [[3.138, 0.000, 0.000], [0.000, 3.138, 0.000], [0.000, 0.000, 12.173]], "species": ["Li", "Li", "Li", "Li", "Li", "Mg"], "fractional_positions": [[0.000, 0.000, 0.000], [0.000, 0.000, 0.331], [0.000, 0.000, 0.669], [0.500, 0.500, 0.167], [0.500, 0.500, 0.833], [0.500, 0.500, 0.500]], "energy_ev_per_cell": -11.65, "delta_e_f_ev_per_atom": -0.017}

***

No. 9
{"formula": "LiAlRe2", "functional": "PBEsol", "state": "optimized geometry", "cell": [[1.360, 0.785, 8.994], [-1.360, 0.785, 8.994], [0.000, -1.570, 8.994]], "species": ["Li", "Al", "Re", "Re"], "fractional_positions": [[0.000, 0.000, 0.000], [0.500, 0.500, 0.500], [0.247, 0.247, 0.247], [0.753, 0.753, 0.753]], "energy_ev_per_cell": -32.09, "delta_e_f_ev_per_atom": 0.158}

***

No. 10
{"formula": "TaTe2P", "functional": "PBEsol", "state": "optimized geometry", "cell": [[3.403, 0.000, 0.000], [0.000, 3.403, 0.000], [0.000, 0.000, 6.883]], "species": ["Ta", "Te", "Te", "P"], "fractional_positions": [[0.000, 0.000, 0.000], [0.500, 0.500, 0.238], [0.500, 0.500, 0.762], [0.000, 0.000, 0.500]], "formation_energy_uncorrected_ev_per_atom": 0.196, "energy_ev_per_cell": -24.61}

***

No. 11
{"formula": "KZnCo2", "functional": "PBEsol", "state": "optimized geometry", "cell": [[2.008, 1.159, 5.920], [-2.008, 1.159, 5.920], [0.000, -2.318, 5.920]], "species": ["K", "Zn", "Co", "Co"], "fractional_positions": [[0.000, 0.000, 0.000], [0.816, 0.816, 0.816], [0.184, 0.184, 0.184], [0.515, 0.515, 0.515]], "energy_ev_per_cell": -16.61, "delta_e_f_ev_per_atom": 0.396}

***

No. 12
{"formula": "SrLaIn3", "functional": "PBEsol", "state": "optimized geometry", "cell": [[5.666, 0.000, 0.000], [0.000, 5.666, 0.000], [0.000, 0.000, 5.666]], "species": ["Sr", "La", "In", "In", "In"], "fractional_positions": [[0.000, 0.000, 0.000], [0.500, 0.500, 0.500], [0.000, 0.000, 0.500], [0.000, 0.500, 0.000], [0.500, 0.000, 0.000]], "energy_ev_per_cell": -13.75, "delta_e_f_ev_per_atom": 0.477}